DFT (PBE) results for a relaxed CeSeF crystal.

a = 4.1303 Å, b = 4.1528 Å, c = 4.1528 Å
α = 120.00°, β = 90.00°, γ = 90.00°
Each line ends with the local moment (μB).
Element x y z (fractional)
Se 0.6667 0.6667 0.3333  -0.03
F 0.1667 0.3333 0.6667  -0.01
Ce 0.1666 0.0000 0.0000  0.94

## Properties
**DOS(E_F)**: 2.063 states/eV per atom
**Uncorrected formation energy**: -2.788 eV per atom
**Electronic total energy**: -19.654 eV per formula unit